## BaBe2Tc (GGA-PBE)

Data for a relaxed structure of BaBe2Tc.

Summary:
E_form = 0.65 eV per atom
Energy relative to the lowest polymorph listed for this composition = 378 meV per atom
Spin magnetization = 0.00 Bohr magnetons per cell
VASP energy = -4.28 eV/atom
Density = 5.561 Mg/m³

a b c (Å): 3.257 3.257 7.134
angles (deg): 90.00 90.00 90.00
Space group P4mm (No. 99)
Unique sites:
Ba 0.000 0.000 0.000 x1
Be 0.000 0.000 0.546 x1
Be 0.500 0.500 0.344 x1
Tc 0.500 0.500 0.640 x1